The following is a DFT calculation (PBE) of an optimized crystal structure of TaBeAg.

Summary:
Calculated total energy: -5.953 eV/atom
Crystal system: triclinic
DFT formation energy: 0.19 eV/atom

abc: 4.9696 2.8532 7.1305
angles: 89.96 111.25 106.77
Sites, in units of the cell vectors:
1 Be 0.9245 0.3384 0.3102
2 Ag 0.6399 0.6961 0.9922
3 Ta 0.9716 0.3611 0.7625
4 Ta 0.3229 0.0384 0.5935
5 Be 0.6767 0.7139 0.4439
6 Ag 0.2744 0.0122 0.1738


The following is a DFT calculation (PBE) of an optimized crystal structure of Ba3Te.

Summary:
Calculated total energy: -2.998 eV/atom
E_form (uncorrected): -0.77 eV per atom
Crystal system: orthorhombic

abc: 7.8821 8.9733 11.4295
angles: 90.00 90.00 90.00
Each line ends with the local moment (μB).
Sites, in units of the cell vectors:
1 Te 0.4283 0.1295 0.2500  0.00
2 Ba 0.3435 0.5283 0.7500  0.07
3 Ba 0.8559 0.6846 0.9451  0.11
4 Ba 0.6441 0.1846 0.9451  0.11
5 Te 0.5717 0.8705 0.7500  0.00
6 Ba 0.1441 0.3154 0.4451  0.11
7 Te 0.0717 0.6295 0.2500  0.00
8 Ba 0.8559 0.6846 0.5549  0.11
9 Ba 0.1441 0.3154 0.0549  0.11
10 Ba 0.1565 0.0283 0.7500  0.07
11 Ba 0.6441 0.1846 0.5549  0.11
12 Ba 0.8435 0.9717 0.2500  0.07
13 Ba 0.3559 0.8154 0.4451  0.11
14 Ba 0.6565 0.4717 0.2500  0.07
15 Te 0.9283 0.3705 0.7500  0.00
16 Ba 0.3559 0.8154 0.0549  0.11


The following is a DFT calculation (PBE) of an optimized crystal structure of La2AsRh2.

Summary:
Calculated total energy: -6.681 eV/atom
Crystal system: tetragonal
DFT formation energy: -0.84 eV/atom

abc: 7.3685 7.3685 4.0687
angles: 90.00 90.00 90.00
Sites, in units of the cell vectors:
1 As 0.5000 0.5000 0.0000
2 La 0.3188 0.1812 0.5000
3 Rh 0.1335 0.3665 0.0000
4 La 0.8188 0.3188 0.5000
5 Rh 0.8665 0.6335 0.0000
6 La 0.1812 0.6812 0.5000
7 As 0.0000 0.0000 0.0000
8 Rh 0.6335 0.1335 0.0000
9 La 0.6812 0.8188 0.5000
10 Rh 0.3665 0.8665 0.0000


The following is a DFT calculation (PBE) of an optimized crystal structure of Sr2Pm4Bi3N2.

Summary:
Calculated total energy: -5.623 eV/atom
E_form (uncorrected): -1.02 eV per atom
Crystal system: tetragonal

abc: 4.9207 4.9207 13.7841
angles: 100.28 100.28 90.00
Sites, in units of the cell vectors:
1 Bi 0.8258 0.8258 0.6517
2 N 0.4039 0.4039 0.8078
3 Sr 0.6931 0.6931 0.3863
4 Pm 0.5838 0.0838 0.1677
5 Sr 0.3069 0.3069 0.6137
6 Pm 0.0838 0.5838 0.1677
7 Pm 0.9162 0.4162 0.8323
8 Pm 0.4162 0.9162 0.8323
9 Bi 0.1742 0.1742 0.3483
10 N 0.5961 0.5961 0.1922
11 Bi 0.0000 0.0000 0.0000


The following is a DFT calculation (PBE) of an optimized crystal structure of HgPd2Pt6.

Summary:
Calculated total energy: -5.238 eV/atom
Crystal system: triclinic
DFT formation energy: -0.02 eV/atom

abc: 2.8162 7.4548 8.4918
angles: 123.71 89.90 79.21
Sites, in units of the cell vectors:
1 Pt 0.2258 0.5486 0.8873
2 Pt 0.8899 0.2197 0.5497
3 Pt 0.7742 0.4514 0.1127
4 Pt 0.6706 0.6604 0.6658
5 Pd 0.4449 0.1101 0.7725
6 Hg 0.0000 0.0000 0.0000
7 Pd 0.5551 0.8899 0.2275
8 Pt 0.3294 0.3396 0.3342
9 Pt 0.1101 0.7803 0.4503


The following is a DFT calculation (PBE) of an optimized crystal structure of La3ZnIr.

Summary:
Calculated total energy: -5.428 eV/atom
Crystal system: orthorhombic
DFT formation energy: -0.44 eV/atom

abc: 5.9862 5.9862 8.8393
angles: 102.60 102.59 110.85
Sites, in units of the cell vectors:
1 La 0.7073 0.5912 0.2985
2 La 0.0911 0.2072 0.2984
3 Zn 0.3131 0.8131 0.5000
4 Zn 0.6869 0.1869 0.5000
5 Ir 0.2501 0.2501 0.0000
6 La 0.2987 0.7987 0.0974
7 Ir 0.7499 0.7499 0.0000
8 La 0.7013 0.2013 0.9026
9 La 0.9089 0.7928 0.7016
10 La 0.2927 0.4088 0.7015